No. 1
MnIrS | PBE | optimized geometry

a = 6.4043 Å, b = 2.9834 Å, c = 4.9718 Å
α = 90.00°, β = 102.12°, γ = 90.00°
Last column: nearest neighbours and their distance in Å.
Sites, in units of the cell vectors:
1 Mn 0.0000 0.0000 0.0000  3 S 2.40-2.41, 3 Ir 2.51-2.59
2 Mn 0.5000 0.5000 0.0000  3 S 2.40-2.41, 3 Ir 2.51-2.59
3 Ir 0.2617 0.5000 0.3419  2 S 2.37, 3 Mn 2.51-2.59
4 Ir 0.7617 0.0000 0.3419  2 S 2.37, 3 Mn 2.51-2.59
5 S 0.2580 0.0000 0.7103  2 Ir 2.37, 3 Mn 2.40-2.41
6 S 0.7580 0.5000 0.7103  2 Ir 2.37, 3 Mn 2.40-2.41

Calculated values
* formation energy without anion corrections: 0.088 eV/atom
* energy above the most stable polymorph in this dataset: 35.1 kJ per mole of atoms
* N(E_F): 0.67 states/eV/atom

No. 2
MnIrS | PBE | optimized geometry

a = 3.0128 Å, b = 4.4928 Å, c = 6.3497 Å
α = 90.00°, β = 90.00°, γ = 90.00°
Last column: nearest neighbours and their distance in Å.
Sites, in units of the cell vectors:
1 Mn 0.0000 0.0000 0.0000  2 S 2.30
2 Mn 0.0000 0.5000 0.5000  2 S 2.30
3 Ir 0.5000 0.0000 0.3576  3 S 2.35-2.39
4 Ir 0.5000 0.5000 0.8576  3 S 2.35-2.39
5 S 0.5000 0.0000 0.7273  2 Mn 2.30, 3 Ir 2.35-2.39
6 S 0.5000 0.5000 0.2273  2 Mn 2.30, 3 Ir 2.35-2.39

Calculated values
* formation energy without anion corrections: -0.037 eV/atom
* energy above the most stable polymorph in this dataset: 23.0 kJ per mole of atoms
* N(E_F): 0.60 states/eV/atom

No. 3
Mn2IrS6 | PBE | optimized geometry

a = 8.0707 Å, b = 8.0707 Å, c = 7.2114 Å
α = 110.32°, β = 110.32°, γ = 24.56°
Last column: nearest neighbours and their distance in Å.
Sites, in units of the cell vectors:
1 Mn 0.1677 0.1677 0.3299  6 S 2.33-2.35
2 Mn 0.8323 0.8323 0.6701  6 S 2.33-2.35
3 Ir 0.5000 0.5000 0.0000  6 S 2.38-2.39
4 S 0.0104 0.0104 0.2351  1 Mn 2.33, 2 Ir 2.38
5 S 0.3266 0.3266 0.4443  3 Mn 2.34-2.35
6 S 0.3382 0.3382 0.8965  2 Mn 2.35, 1 Ir 2.39
7 S 0.6618 0.6618 0.1035  2 Mn 2.35, 1 Ir 2.39
8 S 0.6734 0.6734 0.5557  3 Mn 2.34-2.35
9 S 0.9896 0.9896 0.7649  1 Mn 2.33, 2 Ir 2.38

Calculated values
* formation energy without anion corrections: -0.433 eV/atom
* N(E_F): 0.53 states/eV/atom

No. 4
MnIrS | PBE | optimized geometry

a = 2.8801 Å, b = 2.8801 Å, c = 17.4796 Å
α = 90.00°, β = 90.00°, γ = 120.00°
Last column: nearest neighbours and their distance in Å.
Sites, in units of the cell vectors:
1 Mn 0.0000 0.0000 0.0000  3 S 2.21
2 Mn 0.3333 0.6667 0.6667  3 S 2.21
3 Mn 0.6667 0.3333 0.3333  3 S 2.21
4 Ir 0.0000 0.0000 0.4512  1 S 2.32
5 Ir 0.3333 0.6667 0.1179  1 S 2.32
6 Ir 0.6667 0.3333 0.7845  1 S 2.32
7 S 0.0000 0.0000 0.5837  3 Mn 2.21, 1 Ir 2.32
8 S 0.3333 0.6667 0.2503  3 Mn 2.21, 1 Ir 2.32
9 S 0.6667 0.3333 0.9170  3 Mn 2.21, 1 Ir 2.32

Calculated values
* formation energy without anion corrections: -0.128 eV/atom
* energy above the most stable polymorph in this dataset: 14.2 kJ per mole of atoms
* N(E_F): 0.94 states/eV/atom

No. 5
MnIrS | PBE | optimized geometry

a = 2.8497 Å, b = 2.8497 Å, c = 5.7722 Å
α = 90.00°, β = 90.00°, γ = 120.00°
Last column: nearest neighbours and their distance in Å.
Sites, in units of the cell vectors:
1 Mn 0.0000 0.0000 0.0000  3 S 2.18
2 Ir 0.3333 0.6667 0.3523  1 S 2.31
3 S 0.3333 0.6667 0.7519  3 Mn 2.18, 1 Ir 2.31

Calculated values
* formation energy without anion corrections: -0.148 eV/atom
* energy above the most stable polymorph in this dataset: 12.3 kJ per mole of atoms
* N(E_F): 1.12 states/eV/atom

No. 6
MnIrS3 | PBE | optimized geometry

a = 4.3072 Å, b = 4.3072 Å, c = 4.3072 Å
α = 90.00°, β = 90.00°, γ = 90.00°
Last column: nearest neighbours and their distance in Å.
Sites, in units of the cell vectors:
1 Mn 0.0000 0.0000 0.0000  6 S 2.15
2 Ir 0.5000 0.5000 0.5000  12 S 3.05
3 S 0.0000 0.0000 0.5000  2 Mn 2.15
4 S 0.0000 0.5000 0.0000  2 Mn 2.15
5 S 0.5000 0.0000 0.0000  2 Mn 2.15

Calculated values
* formation energy without anion corrections: 0.885 eV/atom
* energy above the most stable polymorph in this dataset: 125.2 kJ per mole of atoms
* N(E_F): 1.08 states/eV/atom